# KCdSiS2

KCdSiS2 after structural relaxation (PBE, the Alexandria database).

Cell lengths 5.0836, 5.7058, 5.0836 Å; angles 90.00, 90.00, 90.00 degrees
Site moments in Bohr magnetons follow the coordinates.
Element x y z (fractional)
K (0.0000, 0.5000, 0.0000)  0.02
Si (0.5000, 0.5000, 0.5000)  0.39
S (0.0000, 0.0000, 0.5000)  -0.10
S (0.5000, 0.0000, 0.0000)  -0.15
Cd (0.0000, 0.0000, 0.0000)  0.01

Properties
spin magnetization	1.0	μB/f.u.
ΔE_f (raw)	302	kJ/mol of formula units
space-group type	P4/mmm (123)